A plane-wave DFT calculation with PBE with a Hubbard U was carried out for a geometry-optimized V2SiO structure.

Properties
uncorrected energy	-26.010	eV/f.u.
symmetry	I-42d, No. 122
energy above the lowest structure with this stoichiometry	0	meV/atom

Cell: 5.501 5.501 5.904 Å, 62.23 62.23 90.00°
Each line ends with the local moment (μB).
Positions (direct):
Si: 0.000 0.000 0.000  -0.13
Si: 0.750 0.250 0.500  -0.13
O: 0.500 0.500 0.000  -0.08
O: 0.250 0.750 0.500  -0.08
V: 0.544 0.125 0.250  2.31
V: 0.206 0.625 0.250  2.31
V: 0.375 0.456 0.750  2.31
V: 0.875 0.794 0.750  2.31